[1]
Material: Ag2BiRuC
Method: DFT, GGA-PBE
State: relaxed

a b c (Å): 5.154 5.154 5.064
angles (deg): 90.00 90.00 90.00
Space group P4/mmm (No. 123)
One atom of each set of equivalent atoms:
Ag (0.000, 0.500, 0.000) x2
Bi (0.000, 0.000, 0.500) x1
Ru (0.000, 0.000, 0.000) x1
C (0.500, 0.500, 0.500) x1

Computed properties:
**Magnetic moment**: 2.7 μB/f.u.
**DFT formation energy**: 10.57 eV per formula unit



[2]
Material: Ag2BiCS
Method: DFT, GGA-PBE
State: relaxed

a b c (Å): 5.462 5.462 5.380
angles (deg): 90.00 90.00 90.00
Space group P4/mmm (No. 123)
One atom of each set of equivalent atoms:
Ag (0.000, 0.500, 0.000) x2
Bi (0.000, 0.000, 0.000) x1
C (0.500, 0.500, 0.500) x1
S (0.000, 0.000, 0.500) x1

Computed properties:
**Magnetic moment**: 1.2 μB/f.u.
**Formation energy (no corrections)**: 9.74 eV/f.u.



[3]
Material: AgBi2SbC
Method: DFT, GGA-PBE
State: relaxed

a b c (Å): 5.244 5.244 4.273
angles (deg): 90.00 90.00 90.00
Space group P4/mmm (No. 123)
One atom of each set of equivalent atoms:
Ag (0.000, 0.000, 0.000) x1
Bi (0.000, 0.500, 0.500) x2
Sb (0.500, 0.500, 0.000) x1
C (0.000, 0.000, 0.500) x1

Computed properties:
**Magnetic moment**: 0.0 μB/f.u.
**Formation energy (no corrections)**: 3.99 eV/f.u.



[4]
Material: AgBi2SbC
Method: DFT, GGA-PBE
State: relaxed

a b c (Å): 5.540 5.540 5.285
angles (deg): 90.00 90.00 90.00
Space group P4/mmm (No. 123)
One atom of each set of equivalent atoms:
Ag (0.000, 0.000, 0.000) x1
Bi (0.000, 0.500, 0.000) x2
Sb (0.000, 0.000, 0.500) x1
C (0.500, 0.500, 0.500) x1

Computed properties:
**Magnetic moment**: 0.9 μB/f.u.
**Formation energy (no corrections)**: 9.48 eV/f.u.



[5]
Material: Sc2AgBiC
Method: DFT, GGA-PBE
State: relaxed

a b c (Å): 4.595 4.595 4.491
angles (deg): 90.00 90.00 90.00
Space group P4/mmm (No. 123)
One atom of each set of equivalent atoms:
Sc (0.000, 0.500, 0.000) x2
Ag (0.000, 0.000, 0.500) x1
Bi (0.500, 0.500, 0.500) x1
C (0.000, 0.000, 0.000) x1

Computed properties:
**Magnetic moment**: 0.0 μB/f.u.
**DFT formation energy**: -1.47 eV per formula unit



[6]
Material: SrAgBiC2
Method: DFT, GGA-PBE
State: relaxed

a b c (Å): 4.596 4.596 6.723
angles (deg): 90.00 90.00 90.00
Space group P4/mmm (No. 123)
One atom of each set of equivalent atoms:
Sr (0.000, 0.000, 0.000) x1
Ag (0.500, 0.500, 0.000) x1
Bi (0.000, 0.000, 0.500) x1
C (0.000, 0.500, 0.500) x2

Computed properties:
**Magnetic moment**: 0.6 μB/f.u.
**DFT formation energy**: 10.61 eV per formula unit



[7]
Material: AgBiTeC2
Method: DFT, GGA-PBE
State: relaxed

a b c (Å): 4.312 4.312 6.001
angles (deg): 90.00 90.00 90.00
Space group P4/mmm (No. 123)
One atom of each set of equivalent atoms:
Ag (0.000, 0.000, 0.000) x1
Bi (0.000, 0.000, 0.500) x1
Te (0.500, 0.500, 0.500) x1
C (0.000, 0.500, 0.000) x2

Computed properties:
**Magnetic moment**: 2.0 μB/f.u.
**Formation energy (no corrections)**: 11.14 eV/f.u.



[8]
Material: AgBiWC2
Method: DFT, GGA-PBE
State: relaxed

a b c (Å): 4.361 4.361 5.215
angles (deg): 90.00 90.00 90.00
Space group P4/mmm (No. 123)
One atom of each set of equivalent atoms:
Ag (0.000, 0.000, 0.000) x1
Bi (0.000, 0.000, 0.500) x1
W (0.500, 0.500, 0.000) x1
C (0.000, 0.500, 0.500) x2

Computed properties:
**Magnetic moment**: 0.0 μB/f.u.
**DFT formation energy**: 17.26 eV per formula unit



[9]
Material: ZnAgBiC2
Method: DFT, GGA-PBE
State: relaxed

a b c (Å): 4.586 4.586 5.466
angles (deg): 90.00 90.00 90.00
Space group P4/mmm (No. 123)
One atom of each set of equivalent atoms:
Zn (0.000, 0.000, 0.000) x1
Ag (0.500, 0.500, 0.000) x1
Bi (0.000, 0.000, 0.500) x1
C (0.000, 0.500, 0.500) x2

Computed properties:
**Magnetic moment**: 2.0 μB/f.u.
**DFT formation energy**: 12.50 eV per formula unit



[10]
Material: CaAg3Bi3
Method: DFT, GGA-PBE
State: relaxed

a b c (Å): 7.862 7.862 7.862
angles (deg): 90.00 90.00 90.00
Space group Pm-3n (No. 223)
One atom of each set of equivalent atoms:
Ca (0.000, 0.000, 0.000) x2
Ag (0.000, 0.250, 0.500) x6
Bi (0.000, 0.500, 0.250) x6

Computed properties:
**Magnetic moment**: 0.0 μB/f.u.
**DFT formation energy**: 1.68 eV per formula unit



[11]
Material: CaAg8Bi3
Method: DFT, GGA-PBE
State: relaxed

a b c (Å): 5.7443 5.7443 9.3200
angles (deg): 90.00 90.00 120.00
Space group P3m1 (No. 156)
One atom of each set of equivalent atoms:
Ca (0.0000, 0.0000, 0.0000) x1
Ag (0.1646, 0.3292, 0.6888) x3
Ag (0.3333, 0.6667, 0.4388) x1
Ag (0.3333, 0.6667, 0.9399) x1
Ag (0.5018, 0.0036, 0.1877) x3
Bi (0.0000, 0.0000, 0.3803) x1
Bi (0.6667, 0.3333, 0.4865) x1
Bi (0.6667, 0.3333, 0.8806) x1

Computed properties:
**Magnetic moment**: 0.0 μB/f.u.
**DFT formation energy**: -1.04 eV per formula unit



[12]
Material: CaAg2Bi
Method: DFT, GGA-PBE
State: relaxed

a b c (Å): 4.575 4.575 4.599
angles (deg): 90.00 90.00 90.00
Space group P4/mmm (No. 123)
One atom of each set of equivalent atoms:
Ca (0.000, 0.000, 0.000) x1
Ag (0.000, 0.500, 0.500) x2
Bi (0.500, 0.500, 0.000) x1

Computed properties:
**Magnetic moment**: 0.0 μB/f.u.
**DFT formation energy**: -1.07 eV per formula unit



[13]
Material: Ca3Ag4Bi4
Method: DFT, GGA-PBE
State: relaxed

a b c (Å): 4.850 7.728 15.993
angles (deg): 90.00 90.00 90.00
Space group Immm (No. 71)
One atom of each set of equivalent atoms:
Ca (0.000, 0.000, 0.000) x2
Ca (0.000, 0.500, 0.129) x4
Ag (0.000, 0.300, 0.325) x8
Bi (0.000, 0.000, 0.213) x4
Bi (0.000, 0.205, 0.500) x4

Computed properties:
**Magnetic moment**: 0.0 μB/f.u.
**DFT formation energy**: -4.45 eV per formula unit



[14]
Material: Ca3AgBi
Method: DFT, GGA-PBE
State: relaxed

a b c (Å): 5.636 5.636 5.636
angles (deg): 90.00 90.00 90.00
Space group Pm-3m (No. 221)
One atom of each set of equivalent atoms:
Ca (0.000, 0.000, 0.500) x3
Ag (0.000, 0.000, 0.000) x1
Bi (0.500, 0.500, 0.500) x1

Computed properties:
**Magnetic moment**: 0.0 μB/f.u.
**DFT formation energy**: -1.10 eV per formula unit



[15]
Material: Ca2Ag2Bi
Method: DFT, GGA-PBE
State: relaxed

a b c (Å): 8.620 8.620 3.750
angles (deg): 90.00 90.00 90.00
Space group P4/mbm (No. 127)
One atom of each set of equivalent atoms:
Ca (0.165, 0.335, 0.000) x4
Ag (0.122, 0.622, 0.500) x4
Bi (0.000, 0.000, 0.000) x2

Computed properties:
**Magnetic moment**: 0.0 μB/f.u.
**DFT formation energy**: -1.24 eV per formula unit



[16]
Material: CaAgBi
Method: DFT, GGA-PBE
State: relaxed

a b c (Å): 5.3934 5.3934 6.3902
angles (deg): 90.00 90.00 120.00
Space group P6_3/mmc (No. 194)
One atom of each set of equivalent atoms:
Ca (0.3333, 0.6667, 0.2500) x2
Ag (0.0000, 0.0000, 0.0000) x2
Bi (0.3333, 0.6667, 0.7500) x2

Computed properties:
**Magnetic moment**: 0.0 μB/f.u.
**DFT formation energy**: -1.11 eV per formula unit



[17]
Material: CaAgBi
Method: DFT, GGA-PBE
State: relaxed

a b c (Å): 4.910 6.329 6.331
angles (deg): 78.41 67.25 67.23
Space group P1 (No. 1)
One atom of each set of equivalent atoms:
Ca (0.000, 0.000, 0.000) x1
Ca (0.031, 0.467, 0.468) x1
Ag (0.343, 0.474, 0.837) x1
Ag (0.343, 0.835, 0.477) x1
Bi (0.678, 0.571, 0.072) x1
Bi (0.679, 0.072, 0.569) x1

Computed properties:
**Magnetic moment**: 0.0 μB/f.u.
**DFT formation energy**: -1.36 eV per formula unit



[18]
Material: CaAgBi
Method: DFT, GGA-PBE
State: relaxed

a b c (Å): 4.932 4.933 8.534
angles (deg): 106.12 90.58 119.88
Space group P1 (No. 1)
One atom of each set of equivalent atoms:
Ca (0.000, 0.000, 0.000) x1
Ca (0.166, 0.328, 0.496) x1
Ag (0.292, 0.587, 0.878) x1
Ag (0.727, 0.451, 0.180) x1
Bi (0.423, 0.842, 0.267) x1
Bi (0.584, 0.173, 0.756) x1

Computed properties:
**Magnetic moment**: 0.0 μB/f.u.
**DFT formation energy**: -1.42 eV per formula unit



[19]
Material: CaAg2Bi
Method: DFT, GGA-PBE
State: relaxed

a b c (Å): 3.4143 3.4143 32.4874
angles (deg): 90.00 90.00 120.00
Space group R-3m (No. 166, hexagonal axes)
One atom of each set of equivalent atoms:
Ca (0.0000, 0.0000, 0.0000) x3
Ag (0.0000, 0.0000, 0.0911) x6
Bi (0.0000, 0.0000, 0.5000) x3

Computed properties:
**Magnetic moment**: 0.0 μB/f.u.
**DFT formation energy**: 1.14 eV per formula unit



[20]
Material: Ca3AgBi
Method: DFT, GGA-PBE
State: relaxed

a b c (Å): 9.004 6.811 10.595
angles (deg): 90.00 94.73 90.00
Space group P2_1/c (No. 14)
One atom of each set of equivalent atoms:
Ca (0.089, 0.013, 0.256) x4
Ca (0.268, 0.076, 0.586) x4
Ca (0.354, 0.644, 0.405) x4
Ag (0.038, 0.720, 0.499) x4
Bi (0.426, 0.181, 0.337) x4

Computed properties:
**Magnetic moment**: 0.0 μB/f.u.
**DFT formation energy**: -2.21 eV per formula unit



[21]
Material: CaAgBi
Method: DFT, GGA-PBE
State: relaxed

a b c (Å): 4.687 4.687 7.494
angles (deg): 90.00 90.00 90.00
Space group P4/nmm (No. 129, origin choice 2)
One atom of each set of equivalent atoms:
Ca (0.250, 0.250, 0.197) x2
Ag (0.250, 0.750, 0.500) x2
Bi (0.250, 0.250, 0.758) x2

Computed properties:
**Magnetic moment**: 0.0 μB/f.u.
**DFT formation energy**: -1.62 eV per formula unit



[22]
Material: CaAg3Bi
Method: DFT, GGA-PBE
State: relaxed

a b c (Å): 5.303 5.303 5.303
angles (deg): 90.00 90.00 90.00
Space group Pm-3m (No. 221)
One atom of each set of equivalent atoms:
Ca (0.000, 0.000, 0.000) x1
Ag (0.000, 0.000, 0.500) x3
Bi (0.500, 0.500, 0.500) x1

Computed properties:
**Magnetic moment**: 0.0 μB/f.u.
**DFT formation energy**: 3.80 eV per formula unit



[23]
Material: CaAg2Bi
Method: DFT, GGA-PBE
State: relaxed

a b c (Å): 4.998 8.159 5.855
angles (deg): 90.00 115.15 90.00
Space group P2_1/m (No. 11)
One atom of each set of equivalent atoms:
Ca (0.073, 0.250, 0.147) x2
Ag (0.245, 0.579, 0.491) x4
Bi (0.382, 0.250, 0.766) x2

Computed properties:
**Magnetic moment**: 0.0 μB/f.u.
**DFT formation energy**: -0.72 eV per formula unit



[24]
Material: CaAgBi
Method: DFT, GGA-PBE
State: relaxed

a b c (Å): 4.9409 4.9409 8.2266
angles (deg): 90.00 90.00 120.00
Space group P3m1 (No. 156)
One atom of each set of equivalent atoms:
Ca (0.0000, 0.0000, 0.0000) x1
Ca (0.3333, 0.6667, 0.3587) x1
Ag (0.3333, 0.6667, 0.7392) x1
Ag (0.6667, 0.3333, 0.7896) x1
Bi (0.0000, 0.0000, 0.6072) x1
Bi (0.6667, 0.3333, 0.1624) x1

Computed properties:
**Magnetic moment**: 0.0 μB/f.u.
**DFT formation energy**: -1.41 eV per formula unit



[25]
Material: CaAgBi
Method: DFT, GGA-PBE
State: relaxed

a b c (Å): 4.696 4.696 7.624
angles (deg): 90.00 90.00 90.00
Space group P4/nmm (No. 129, origin choice 2)
One atom of each set of equivalent atoms:
Ca (0.250, 0.750, 0.000) x2
Ag (0.250, 0.250, 0.300) x2
Bi (0.250, 0.250, 0.692) x2

Computed properties:
**Magnetic moment**: 0.0 μB/f.u.
**DFT formation energy**: -0.63 eV per formula unit



[26]
Material: Ca3Ag8Bi
Method: DFT, GGA-PBE
State: relaxed

a b c (Å): 5.6965 5.6965 28.6783
angles (deg): 90.00 90.00 120.00
Space group R3m (No. 160, hexagonal axes)
One atom of each set of equivalent atoms:
Ca (0.0000, 0.0000, 0.0000) x3
Ca (0.0000, 0.0000, 0.1285) x3
Ca (0.0000, 0.0000, 0.6149) x3
Ag (0.0000, 0.0000, 0.3102) x3
Ag (0.0000, 0.0000, 0.8096) x3
Ag (0.0031, 0.5015, 0.5622) x9
Ag (0.1680, 0.3359, 0.3919) x9
Bi (0.0000, 0.0000, 0.4953) x3

Computed properties:
**Magnetic moment**: 0.0 μB/f.u.
**DFT formation energy**: -3.07 eV per formula unit



| no. | raw total energy (eV for the cell shown) |
| --- | --- |
| 1 | -17.51 |
| 2 | -13.20 |
| 3 | -19.97 |
| 4 | -14.48 |
| 5 | -30.09 |
| 6 | -16.26 |
| 7 | -17.18 |
| 8 | -20.87 |
| 9 | -13.95 |
| 10 | -41.03 |
| 11 | -37.50 |
| 12 | -12.65 |
| 13 | -74.76 |
| 14 | -13.84 |
| 15 | -29.66 |
| 16 | -19.69 |
| 17 | -20.18 |
| 18 | -20.31 |
| 19 | -31.33 |
| 20 | -59.77 |
| 21 | -20.70 |
| 22 | -10.64 |
| 23 | -24.61 |
| 24 | -20.29 |
| 25 | -18.73 |
| 26 | -107.30 |